# 1
# MnNi2PtSe6 (PBE-GGA, relaxed)
# Crystal system: monoclinic
# Mass density, g/cm3: 6.97
# Total DFT energy (no corrections), eV per atom: -5.044
# Uncorrected formation energy, eV/atom: -0.28
data_MnNi2PtSe6
_cell_length_a 6.3362
_cell_length_b 8.0661
_cell_length_c 8.0661
_cell_angle_alpha 85.14
_cell_angle_beta 80.83
_cell_angle_gamma 80.83
_symmetry_space_group_name_H-M 'P 1'
_symmetry_Int_Tables_number 1
_symmetry_space_group_name_Hall 'P 1'
loop_
_atom_site_label
_atom_site_type_symbol
_atom_site_fract_x
_atom_site_fract_y
_atom_site_fract_z
Ni1 Ni 0.6835 0.5923 0.7784
Mn1 Mn 0.7500 0.0905 0.9095
Ni2 Ni 0.8165 0.2216 0.4077
Mn2 Mn 0.2500 0.9095 0.0905
Se1 Se 0.3780 0.9007 0.3623
Se2 Se 0.8780 0.3623 0.9007
Se3 Se 0.8716 0.0293 0.2006
Pt1 Pt 0.2500 0.2628 0.7372
Ni3 Ni 0.3165 0.4077 0.2216
Se4 Se 0.6220 0.0993 0.6377
Se5 Se 0.6284 0.7994 0.9707
Se6 Se 0.1284 0.9707 0.7994
Se7 Se 0.3961 0.5392 0.6719
Se8 Se 0.8961 0.6719 0.5392
Se9 Se 0.3716 0.2006 0.0293
Se10 Se 0.1220 0.6377 0.0993
Se11 Se 0.6039 0.4608 0.3281
Se12 Se 0.1039 0.3281 0.4608
Pt2 Pt 0.7500 0.7372 0.2628
Ni4 Ni 0.1835 0.7784 0.5923


# 2
# LaThMgGa (PBE-GGA, relaxed)
# Crystal system: cubic
# Mass density, g/cm3: 7.06
# Total DFT energy (no corrections), eV per atom: -4.459
# Formation energy from the elements, kJ per mole of atoms: -21
data_LaThMgGa
_cell_length_a 5.3688
_cell_length_b 5.3688
_cell_length_c 5.3688
_cell_angle_alpha 60.00
_cell_angle_beta 60.00
_cell_angle_gamma 60.00
_symmetry_space_group_name_H-M 'P 1'
_symmetry_Int_Tables_number 1
_symmetry_space_group_name_Hall 'P 1'
loop_
_atom_site_label
_atom_site_type_symbol
_atom_site_fract_x
_atom_site_fract_y
_atom_site_fract_z
La1 La 0.0000 0.0000 0.0000
Th1 Th 0.5000 0.5000 0.5000
Mg1 Mg 0.7500 0.7500 0.7500
Ga1 Ga 0.2500 0.2500 0.2500


# 3
# CeIn2Br4Cl2 (PBE-GGA, relaxed)
# Crystal system: monoclinic
# Mass density, g/cm3: 3.55
# Total DFT energy (no corrections), eV per atom: -3.706
# Uncorrected formation energy, eV/atom: -1.28
data_CeIn2Br4Cl2
_cell_length_a 7.0433
_cell_length_b 7.8581
_cell_length_c 7.8581
_cell_angle_alpha 59.70
_cell_angle_beta 73.89
_cell_angle_gamma 73.89
_symmetry_space_group_name_H-M 'P 1'
_symmetry_Int_Tables_number 1
_symmetry_space_group_name_Hall 'P 1'
loop_
_atom_site_label
_atom_site_type_symbol
_atom_site_fract_x
_atom_site_fract_y
_atom_site_fract_z
Cl1 Cl 0.8157 0.8332 0.8332
Ce1 Ce 0.5000 0.0000 0.0000
In1 In 0.2805 0.7314 0.7314
Br1 Br 0.6745 0.8470 0.3427
Br2 Br 0.6745 0.3427 0.8470
Br3 Br 0.3255 0.1530 0.6573
Cl2 Cl 0.1843 0.1668 0.1668
Br4 Br 0.3255 0.6573 0.1530
In2 In 0.7195 0.2686 0.2686


# 4
# YMg2Zn (PBE-GGA, relaxed)
# Crystal system: orthorhombic
# Mass density, g/cm3: 3.67
# Total DFT energy (no corrections), eV per atom: -2.879
# Formation energy from the elements, kJ per mole of atoms: -14
data_YMg2Zn
_cell_length_a 4.3200
_cell_length_b 4.4054
_cell_length_c 4.8304
_cell_angle_alpha 90.00
_cell_angle_beta 90.00
_cell_angle_gamma 90.00
_symmetry_space_group_name_H-M 'P 1'
_symmetry_Int_Tables_number 1
_symmetry_space_group_name_Hall 'P 1'
loop_
_atom_site_label
_atom_site_type_symbol
_atom_site_fract_x
_atom_site_fract_y
_atom_site_fract_z
Zn1 Zn 0.0000 0.5000 0.5000
Mg1 Mg 0.0000 0.0000 0.0000
Y1 Y 0.5000 0.0000 0.5000
Mg2 Mg 0.5000 0.5000 0.0000


# 5
# KW (PBE-GGA, relaxed)
# Polymorph energy (0 for the lowest one), meV/atom: 0
# Crystal system: monoclinic
# Mass density, g/cm3: 4.95
# Total DFT energy (no corrections), eV per atom: -6.103
# Formation energy from the elements, kJ per mole of atoms: 89
data_KW
_cell_length_a 4.8960
_cell_length_b 4.8960
_cell_length_c 14.7835
_cell_angle_alpha 77.81
_cell_angle_beta 77.81
_cell_angle_gamma 40.51
_symmetry_space_group_name_H-M 'P 1'
_symmetry_Int_Tables_number 1
_symmetry_space_group_name_Hall 'P 1'
loop_
_atom_site_label
_atom_site_type_symbol
_atom_site_fract_x
_atom_site_fract_y
_atom_site_fract_z
K1 K 0.6398 0.6398 0.2226
W1 W 0.9531 0.9531 0.6652
W2 W 0.6387 0.6387 0.7221
K2 K 0.2879 0.2879 0.4909
K3 K 0.9895 0.9895 0.9535
W3 W 0.3244 0.3244 0.7790


- Which formula does entry 5 have?
  KW


- total DFT energy (no corrections) of number 5 (KW)?
  -6.103 eV per atom